Record 1
{"formula": "Cu3HPt", "functional": "meta-GGA SCAN", "state": "single point on PBEsol structure", "cell": [[4.658, 0.000, 0.000], [0.000, 4.658, 0.000], [0.000, 0.000, 4.658]], "species": ["Cu", "Cu", "Cu", "H", "Pt"], "frac_coords": [[0.000, 0.000, 0.500], [0.000, 0.500, 0.000], [0.500, 0.000, 0.000], [0.500, 0.500, 0.500], [0.000, 0.000, 0.000]], "total_magnetization_mub_per_cell": 0.410, "n_ef_per_ev_fu": 4.497, "e_above_lowest_polymorph_mev_per_atom": 1398.6, "total_energy_ev_per_atom": -22.46}

***

Record 2
{"formula": "CuH2Pt2", "functional": "meta-GGA SCAN", "state": "single point on PBEsol structure", "cell": [[-1.488, 1.488, 5.451], [1.488, -1.488, 5.451], [1.488, 1.488, -5.451]], "species": ["Cu", "H", "H", "Pt", "Pt"], "frac_coords": [[0.000, 0.000, 0.000], [0.250, 0.750, 0.500], [0.750, 0.250, 0.500], [0.360, 0.360, 0.000], [0.640, 0.640, 0.000]], "total_magnetization_mub_per_cell": 0.000, "n_ef_per_ev_fu": 0.827, "total_energy_ev_per_atom": -32.43}

***

Record 3
{"formula": "Cu2H2Pt", "functional": "meta-GGA SCAN", "state": "single point on PBEsol structure", "cell": [[3.640, 0.000, 0.000], [0.000, 3.640, 0.000], [0.000, 0.000, 3.733]], "species": ["Cu", "Cu", "H", "H", "Pt"], "frac_coords": [[0.000, 0.500, 0.000], [0.500, 0.000, 0.000], [0.000, 0.500, 0.500], [0.500, 0.000, 0.500], [0.000, 0.000, 0.500]], "total_magnetization_mub_per_cell": 0.000, "n_ef_per_ev_fu": 0.768, "total_energy_ev_per_atom": -21.53}

***

Record 4
{"formula": "Cu3HPt", "functional": "meta-GGA SCAN", "state": "single point on PBEsol structure", "cell": [[3.717, 0.000, 0.000], [0.000, 3.717, 0.000], [0.000, 0.000, 3.717]], "species": ["Cu", "Cu", "Cu", "H", "Pt"], "frac_coords": [[0.000, 0.000, 0.500], [0.000, 0.500, 0.000], [0.500, 0.000, 0.000], [0.000, 0.000, 0.000], [0.500, 0.500, 0.500]], "total_magnetization_mub_per_cell": 0.000, "n_ef_per_ev_fu": 1.287, "e_above_lowest_polymorph_mev_per_atom": 0.0, "total_energy_ev_per_atom": -23.86}